[1]
A plane-wave DFT calculation with GGA-PBE was carried out for a relaxed Ba4TeRh crystal.

a = 9.819 Å, b = 9.819 Å, c = 9.819 Å
α = 90.00°, β = 90.00°, γ = 90.00°
Space group F-43m (No. 216)
Unique sites:
Ba  0.125  0.125  0.125 x16
Te  0.000  0.000  0.500 x4
Rh  0.250  0.250  0.750 x4

Results
Density of states at the Fermi level   0.881 states/eV per atom
Formation energy (no corrections)   359 meV/atom
Calculated total energy   -2.67 eV per atom
Density   5.5 Mg/m³


[2]
A plane-wave DFT calculation with GGA-PBE was carried out for a relaxed ZrReP2Cl crystal.

a = 5.084 Å, b = 5.084 Å, c = 4.842 Å
α = 90.00°, β = 90.00°, γ = 90.00°
Space group P4/mmm (No. 123)
Unique sites:
Zr  0.000  0.000  0.000 x1
Re  0.500  0.500  0.500 x1
P  0.000  0.500  0.000 x2
Cl  0.000  0.000  0.500 x1

Results
Density of states at the Fermi level   0.449 states/eV per atom
Formation energy (no corrections)   941 meV/atom
Calculated total energy   -5.79 eV per atom
Density   5.0 Mg/m³


[3]
A plane-wave DFT calculation with GGA-PBE was carried out for a relaxed AlFe2Ni5 crystal.

a = 3.580 Å, b = 3.580 Å, c = 14.137 Å
α = 90.00°, β = 90.00°, γ = 90.00°
Space group I4/mmm (No. 139)
Unique sites:
Al  0.000  0.000  0.000 x2
Fe  0.000  0.000  0.249 x4
Ni  0.000  0.000  0.500 x2
Ni  0.000  0.500  0.126 x8

Results
Density of states at the Fermi level   0.592 states/eV per atom
Calculated total energy   -6.44 eV per atom
Density   7.9 Mg/m³
Formation energy from the elements   -0.24 eV per atom